# 1
DFT (GGA-PBE) results for an optimized crystal structure of In2FePd.

The total magnetization is 2.1 μB/f.u. The formation energy from the elements is -44 meV per atom.

The space group is Fm-3m (No. 225) and the conventional cell measures 6.516, 6.516 and 6.516 Å, with angles of 90.00, 90.00 and 90.00 degrees. Symmetry generates all atoms from In at (0.250, 0.250, 0.250), Fe at (0.000, 0.000, 0.000) and Pd at (0.000, 0.000, 0.500).

# 2
DFT (GGA-PBE) results for an optimized crystal structure of InFe2Pd2.

The total magnetization is 0.0 μB/f.u. The calculation puts the offset from the most stable computed form at 30.0 kJ/mol of atoms. The formation energy from the elements is 349 meV per atom.

The space group is P4/mbm (No. 127) and the conventional cell measures 6.573, 6.573 and 3.494 Å, with angles of 90.00, 90.00 and 90.00 degrees. Symmetry generates all atoms from In at (0.000, 0.000, 0.000), Fe at (0.112, 0.388, 0.000) and Pd at (0.177, 0.677, 0.500).

# 3
DFT (GGA-PBE) results for an optimized crystal structure of In3FePd.

The total magnetization is 0.0 μB/f.u. The calculation puts the offset from the most stable computed form at 0.0 kJ/mol of atoms. The formation energy from the elements is 377 meV per atom.

The space group is Pm-3m (No. 221) and the conventional cell measures 4.887, 4.887 and 4.887 Å, with angles of 90.00, 90.00 and 90.00 degrees. Symmetry generates all atoms from In at (0.000, 0.000, 0.500), Fe at (0.000, 0.000, 0.000) and Pd at (0.500, 0.500, 0.500).